[1]
Compound: CsAg3Te
Source: Alexandria
Functional: PBE
Structure: optimized geometry

Lattice parameters (Å, degrees): 5.8359 5.8359 5.8359 90.00 90.00 90.00
Fractional coordinates of all 5 atoms:
Cs  0.0000  0.0000  0.0000
Te  0.5000  0.5000  0.5000
Ag  0.0000  0.5000  0.0000
Ag  0.0000  0.0000  0.5000
Ag  0.5000  0.0000  0.0000

Output
* uncorrected formation energy: 117 kJ per mole of atoms
* E_tot: -1.30 eV/atom

[2]
Compound: CsAg2Te3
Source: Alexandria
Functional: PBE
Structure: optimized geometry

Lattice parameters (Å, degrees): 7.5509 8.0632 8.0772 90.00 63.57 90.00
Fractional coordinates of all 12 atoms:
Cs  0.7473  0.7500  0.6606
Cs  0.2527  0.2500  0.3394
Ag  0.2039  0.4836  0.8510
Ag  0.2039  0.0164  0.8510
Ag  0.7961  0.9836  0.1490
Ag  0.7961  0.5164  0.1490
Te  0.5006  0.2500  0.7935
Te  0.7141  0.2500  0.4045
Te  0.4994  0.7500  0.2065
Te  0.8988  0.2500  0.8892
Te  0.1012  0.7500  0.1108
Te  0.2859  0.7500  0.5955

Output
* uncorrected formation energy: -34 kJ per mole of atoms
* E_tot: -3.01 eV/atom

[3]
Compound: Cs2AgTe
Source: Alexandria
Functional: PBE
Structure: optimized geometry

Lattice parameters (Å, degrees): 15.3735 9.1455 7.1978 129.39 90.00 90.00
Fractional coordinates of all 16 atoms:
Cs  0.6253  0.0273  0.1511
Cs  0.1253  0.4727  0.8489
Cs  0.3747  0.9727  0.8489
Cs  0.8747  0.5273  0.1511
Cs  0.8742  0.8784  0.8520
Cs  0.3742  0.6216  0.1480
Cs  0.1258  0.1216  0.1480
Cs  0.6258  0.3784  0.8520
Ag  0.5588  0.6070  0.5007
Ag  0.0588  0.8930  0.4993
Ag  0.4412  0.3930  0.4993
Ag  0.9412  0.1070  0.5007
Te  0.3341  0.1553  0.4981
Te  0.8341  0.3447  0.5019
Te  0.6659  0.8447  0.5019
Te  0.1659  0.6553  0.4981

Output
* uncorrected formation energy: -58 kJ per mole of atoms
* E_tot: -2.52 eV/atom

[4]
Compound: CsAgTe2
Source: Alexandria
Functional: PBE
Structure: optimized geometry

Lattice parameters (Å, degrees): 4.2808 4.2808 9.8373 90.00 90.00 120.00
Fractional coordinates of all 4 atoms:
Cs  0.0000  0.0000  0.0056
Te  0.3333  0.6667  0.7091
Te  0.6667  0.3333  0.3058
Ag  0.3333  0.6667  0.4345

Output
* uncorrected formation energy: -16 kJ per mole of atoms
* E_tot: -2.66 eV/atom

[5]
Compound: CsAgTe2
Source: Alexandria
Functional: PBE
Structure: optimized geometry

Lattice parameters (Å, degrees): 6.2514 4.8760 6.1728 107.72 84.92 82.26
Fractional coordinates of all 4 atoms:
Cs  0.7970  0.6174  0.5332
Te  0.3641  0.1330  0.3080
Te  0.2301  0.1015  0.7583
Ag  0.2972  0.6172  0.0332

Output
* uncorrected formation energy: -47 kJ per mole of atoms
* E_tot: -2.98 eV/atom

[6]
Compound: CsAgTe2
Source: Alexandria
Functional: PBE
Structure: optimized geometry

Lattice parameters (Å, degrees): 11.4410 4.5773 12.3420 90.00 90.00 90.00
Fractional coordinates of all 16 atoms:
Cs  0.1850  0.2500  0.5460
Cs  0.3150  0.7500  0.0460
Cs  0.8150  0.7500  0.4540
Cs  0.6850  0.2500  0.9540
Te  0.6311  0.2500  0.6318
Te  0.8689  0.7500  0.1318
Te  0.3689  0.7500  0.3682
Te  0.1311  0.2500  0.8682
Te  0.3759  0.2500  0.7902
Te  0.1241  0.7500  0.2902
Te  0.6241  0.7500  0.2098
Te  0.8759  0.2500  0.7098
Ag  0.4941  0.2500  0.2932
Ag  0.0059  0.7500  0.7932
Ag  0.5059  0.7500  0.7068
Ag  0.9941  0.2500  0.2068

Output
* uncorrected formation energy: -43 kJ per mole of atoms
* E_tot: -2.94 eV/atom